Material: FeTc2Sb4
Method: DFT, PBE
State: relaxed

Calculated values
- electronic total energy (eV/atom) = -6.499
- density of states at the Fermi level (states/eV/cell) = 13.72
- ΔE_f (raw) (eV/atom) = 0.0276

Unit cell a=6.8643 b=12.3327 c=7.5442 alpha=90.00 beta=116.64 gamma=90.00
Space group Cc (No. 9)
One atom of each set of equivalent atoms:
1 Fe 0.0000 0.1331 0.0000 (multiplicity 4)
2 Tc 0.0386 0.1287 0.6005 (multiplicity 4)
3 Tc 0.0524 0.3727 0.0969 (multiplicity 4)
4 Sb 0.1917 0.4932 0.4130 (multiplicity 4)
5 Sb 0.1944 0.0108 0.3924 (multiplicity 4)
6 Sb 0.3654 0.2179 0.2315 (multiplicity 4)
7 Sb 0.3732 0.2753 0.7430 (multiplicity 4)